Entry 1:
## Pm4Pr3Dy4 (PBE)

Data for a relaxed Pm4Pr3Dy4 crystal.

Output
Crystal system   orthorhombic

Cell and atoms, written as POSCAR:
```
Pm4Pr3Dy4
1.0
5.785 0.000 0.000
-2.893 6.068 0.000
0.000 0.000 10.807
Pm Pr Dy
4 3 4
Cartesian
2.893 3.057 8.507
2.893 3.057 2.299
2.893 4.674 5.403
2.893 5.574 0.000
0.000 4.967 3.156
0.000 4.967 7.651
0.000 3.083 0.000
2.893 1.375 5.403
2.893 0.677 0.000
0.000 1.267 7.546
0.000 1.267 3.261
```


Entry 2:
## PmPr2Dy (PBE)

Data for a relaxed PmPr2Dy crystal.

Output
Crystal system   trigonal

Cell and atoms, written as POSCAR:
```
PmPr2Dy
1.0
-1.012 -3.518 -0.019
1.401 -2.321 2.460
-8.772 0.572 8.261
Pr Pm Dy
2 1 1
Cartesian
-6.258 -3.959 8.002
-2.124 -1.309 2.699
0.000 0.000 0.000
-4.191 -2.634 5.351
```


Entry 3:
## Pm8Pr3Dy2 (PBE)

Data for a relaxed Pm8Pr3Dy2 crystal.

Output
Crystal system   monoclinic

Cell and atoms, written as POSCAR:
```
Pm8Pr3Dy2
1.0
-5.517 -2.645 -1.207
-2.617 -4.125 7.453
-6.285 5.909 2.234
Pm Pr Dy
8 3 2
Cartesian
-6.141 0.422 5.127
-8.278 -1.282 3.353
-6.630 -2.233 0.367
-7.790 1.372 8.113
-5.731 -3.650 3.611
-7.518 1.240 1.068
-6.901 -2.101 7.413
-8.689 2.790 4.869
-2.758 -1.322 -0.603
-5.396 3.476 3.500
-3.506 -1.692 6.188
-4.540 -0.426 2.372
-9.879 -0.434 6.108
```


Entry 4:
## PmPr7Dy4 (PBE)

Data for a relaxed PmPr7Dy4 crystal.

Output
Crystal system   triclinic

Cell and atoms, written as POSCAR:
```
PmPr7Dy4
1.0
7.064 1.864 0.886
5.299 7.797 2.481
-1.009 -0.438 9.017
Pm Pr Dy
1 7 4
Cartesian
0.000 0.000 0.000
7.970 5.301 1.926
3.383 3.923 10.457
7.676 3.710 7.545
3.678 5.514 4.838
5.016 6.186 8.128
3.532 0.932 0.443
6.337 3.038 4.256
7.248 6.478 5.266
4.106 2.746 7.117
8.544 7.142 8.569
2.810 2.082 3.814
```


Across the entries above, spin magnetization takes the values 0.0; 0.0; 0.0; 0.0 Bohr magnetons per cell, respectively.
Across the entries above, density takes the values 7.23; 7.10; 7.01; 7.12 g cm⁻³, respectively.
Across the entries above, ΔH_f (0 K) takes the values 0.151; 0.012; 0.152; 0.009 eV per atom, respectively.